# 1
Below is Na4TeO4 after structural relaxation, with properties calculated at the GGA-PBE level.

Computed properties:
Size of the total moment, μB/cell: 0.000
Formation energy from raw total energies, meV per atom: -1192.2

Cell and atoms, written as CIF:
```
data_Na4TeO4
_cell_length_a 5.862
_cell_length_b 5.862
_cell_length_c 9.804
_cell_angle_alpha 90.00
_cell_angle_beta 90.00
_cell_angle_gamma 90.00
_space_group_name_H-M_alt 'I -4 2 m'
_space_group_IT_number 121
_space_group_name_Hall 'I -4 2'
loop_
_atom_site_label
_atom_site_type_symbol
_atom_site_fract_x
_atom_site_fract_y
_atom_site_fract_z
Na1 Na 0.000 0.000 0.191
Na2 Na 0.000 0.500 0.000
Te1 Te 0.000 0.000 0.500
O1 O 0.211 0.211 0.608
```

---

# 2
Below is NaTeO4 after structural relaxation, with properties calculated at the GGA-PBE level.

Computed properties:
Size of the total moment, μB/cell: 4.027
Formation energy from raw total energies, meV per atom: -887.6

Cell and atoms, written as CIF:
```
data_NaTeO4
_cell_length_a 7.510
_cell_length_b 9.133
_cell_length_c 6.040
_cell_angle_alpha 90.00
_cell_angle_beta 115.11
_cell_angle_gamma 90.00
_space_group_name_H-M_alt 'C 1 2/c 1'
_space_group_IT_number 15
loop_
_space_group_symop_operation_xyz
'x,y,z'
'-x,-y,-z'
'-x,y,-z+1/2'
'x,-y,z+1/2'
'x+1/2,y+1/2,z'
'-x+1/2,-y+1/2,-z'
'-x+1/2,y+1/2,-z+1/2'
'x+1/2,-y+1/2,z+1/2'
loop_
_atom_site_label
_atom_site_type_symbol
_atom_site_fract_x
_atom_site_fract_y
_atom_site_fract_z
Na1 Na 0.000 0.118 0.250
Te1 Te 0.000 0.487 0.750
O1 O 0.000 0.355 0.016
O2 O 0.223 0.016 0.103
```

---

# 3
Below is NaTeO2 after structural relaxation, with properties calculated at the GGA-PBE level.

Computed properties:
Size of the total moment, μB/cell: 0.000
Formation energy from raw total energies, meV per atom: -824.2

Cell and atoms, written as CIF:
```
data_NaTeO2
_cell_length_a 3.3349
_cell_length_b 3.3349
_cell_length_c 19.5888
_cell_angle_alpha 90.00
_cell_angle_beta 90.00
_cell_angle_gamma 120.00
_space_group_name_H-M_alt 'R -3 m'
_space_group_IT_number 166
_space_group_name_Hall '-R 3 2"'
loop_
_atom_site_label
_atom_site_type_symbol
_atom_site_fract_x
_atom_site_fract_y
_atom_site_fract_z
Na1 Na 0.0000 0.0000 0.0000
Te1 Te 0.0000 0.0000 0.5000
O1 O 0.0000 0.0000 0.4018
```

---

# 4
Below is Na2TeO after structural relaxation, with properties calculated at the GGA-PBE level.

Computed properties:
Size of the total moment, μB/cell: 8.000
Formation energy from raw total energies, meV per atom: -347.7

Cell and atoms, written as CIF:
```
data_Na2TeO
_cell_length_a 7.081
_cell_length_b 7.081
_cell_length_c 7.081
_cell_angle_alpha 90.00
_cell_angle_beta 90.00
_cell_angle_gamma 90.00
_space_group_name_H-M_alt 'F m -3 m'
_space_group_IT_number 225
_space_group_name_Hall '-F 4 2 3'
loop_
_atom_site_label
_atom_site_type_symbol
_atom_site_fract_x
_atom_site_fract_y
_atom_site_fract_z
Na1 Na 0.250 0.250 0.250
Te1 Te 0.000 0.000 0.000
O1 O 0.000 0.000 0.500
```

---

# 5
Below is Na4TeO5 after structural relaxation, with properties calculated at the GGA-PBE level.

Computed properties:
Size of the total moment, μB/cell: 0.000
Formation energy from raw total energies, meV per atom: -1500.7

Cell and atoms, written as CIF:
```
data_Na4TeO5
_cell_length_a 7.384
_cell_length_b 7.384
_cell_length_c 4.943
_cell_angle_alpha 90.00
_cell_angle_beta 90.00
_cell_angle_gamma 90.00
_space_group_name_H-M_alt 'I 4'
_space_group_IT_number 79
loop_
_space_group_symop_operation_xyz
'x,y,z'
'-y,x,z'
'-x,-y,z'
'y,-x,z'
'x+1/2,y+1/2,z+1/2'
'-y+1/2,x+1/2,z+1/2'
'-x+1/2,-y+1/2,z+1/2'
'y+1/2,-x+1/2,z+1/2'
loop_
_atom_site_label
_atom_site_type_symbol
_atom_site_fract_x
_atom_site_fract_y
_atom_site_fract_z
Na1 Na 0.100 0.702 0.000
Te1 Te 0.000 0.000 0.539
O1 O 0.000 0.000 0.922
O2 O 0.075 0.752 0.480
```

---

# 6
Below is NaTeO6 after structural relaxation, with properties calculated at the GGA-PBE level.

Computed properties:
Size of the total moment, μB/cell: 20.000
Formation energy from raw total energies, meV per atom: -36.9

Cell and atoms, written as CIF:
```
data_NaTeO6
_cell_length_a 8.601
_cell_length_b 8.601
_cell_length_c 8.601
_cell_angle_alpha 90.00
_cell_angle_beta 90.00
_cell_angle_gamma 90.00
_space_group_name_H-M_alt 'F m -3 m'
_space_group_IT_number 225
_space_group_name_Hall '-F 4 2 3'
loop_
_atom_site_label
_atom_site_type_symbol
_atom_site_fract_x
_atom_site_fract_y
_atom_site_fract_z
Na1 Na 0.000 0.000 0.000
Te1 Te 0.000 0.000 0.500
O1 O 0.000 0.000 0.276
```

---

# 7
Below is NaTeO3 after structural relaxation, with properties calculated at the GGA-PBE level.

Computed properties:
Size of the total moment, μB/cell: 0.000
Formation energy from raw total energies, meV per atom: -1196.6

Cell and atoms, written as CIF:
```
data_NaTeO3
_cell_length_a 12.379
_cell_length_b 3.848
_cell_length_c 6.591
_cell_angle_alpha 90.00
_cell_angle_beta 96.07
_cell_angle_gamma 90.00
_space_group_name_H-M_alt 'C 1 2/m 1'
_space_group_IT_number 12
loop_
_space_group_symop_operation_xyz
'x,y,z'
'-x,-y,-z'
'-x,y,-z'
'x,-y,z'
'x+1/2,y+1/2,z'
'-x+1/2,-y+1/2,-z'
'-x+1/2,y+1/2,-z'
'x+1/2,-y+1/2,z'
loop_
_atom_site_label
_atom_site_type_symbol
_atom_site_fract_x
_atom_site_fract_y
_atom_site_fract_z
Na1 Na 0.140 0.000 0.386
Te1 Te 0.115 0.500 0.881
O1 O 0.036 0.500 0.205
O2 O 0.150 0.000 0.963
O3 O 0.167 0.500 0.625
```

---

# 8
Below is Na2TeO5 after structural relaxation, with properties calculated at the GGA-PBE level.

Computed properties:
Size of the total moment, μB/cell: 0.000
Formation energy from raw total energies, meV per atom: -885.7

Cell and atoms, written as CIF:
```
data_Na2TeO5
_cell_length_a 6.543
_cell_length_b 11.584
_cell_length_c 7.817
_cell_angle_alpha 90.00
_cell_angle_beta 90.00
_cell_angle_gamma 90.00
_space_group_name_H-M_alt 'C m c m'
_space_group_IT_number 63
_space_group_name_Hall '-C 2c 2'
loop_
_atom_site_label
_atom_site_type_symbol
_atom_site_fract_x
_atom_site_fract_y
_atom_site_fract_z
Na1 Na 0.000 0.000 0.000
Na2 Na 0.000 0.329 0.250
Te1 Te 0.000 0.230 0.750
O1 O 0.000 0.070 0.750
O2 O 0.228 0.197 0.552
```